(1)
VASP calculation (PBE) on a relaxed structure of MoPt2Rh3.

CIF file:
```
data_MoPt2Rh3
_space_group_name_H-M_alt 'P 1'
_space_group_IT_number 1
_cell_length_a 4.448
_cell_length_b 4.827
_cell_length_c 8.323
_cell_angle_alpha 90.00
_cell_angle_beta 90.00
_cell_angle_gamma 90.00
loop_
_space_group_symop_operation_xyz
'x,y,z'
loop_
_atom_site_label
_atom_site_fract_x
_atom_site_fract_y
_atom_site_fract_z
Mo1 0.000 0.955 0.908
Mo2 0.000 0.455 0.092
Pt1 0.000 0.948 0.241
Pt2 0.500 0.112 0.417
Pt3 0.000 0.448 0.759
Pt4 0.500 0.612 0.583
Rh1 0.500 0.121 0.080
Rh2 0.500 0.113 0.752
Rh3 0.000 0.452 0.414
Rh4 0.500 0.621 0.920
Rh5 0.500 0.613 0.248
Rh6 0.000 0.952 0.586
```

Values from the calculation:
ΔH_f (0 K), eV/atom: -0.143
Final energy, eV/atom: -7.64

(2)
VASP calculation (PBE) on a relaxed structure of Ac3SiIr3.

CIF file:
```
data_Ac3SiIr3
_space_group_name_H-M_alt 'P 1'
_space_group_IT_number 1
_cell_length_a 6.029
_cell_length_b 8.895
_cell_length_c 8.895
_cell_angle_alpha 120.00
_cell_angle_beta 90.00
_cell_angle_gamma 90.00
loop_
_space_group_symop_operation_xyz
'x,y,z'
loop_
_atom_site_label
_atom_site_fract_x
_atom_site_fract_y
_atom_site_fract_z
Ac1 0.750 0.703 0.638
Ac2 0.750 0.362 0.065
Ac3 0.750 0.935 0.297
Ac4 0.250 0.297 0.362
Ac5 0.250 0.638 0.935
Ac6 0.250 0.065 0.703
Si1 0.250 0.667 0.333
Si2 0.750 0.333 0.667
Ir1 0.250 0.689 0.603
Ir2 0.250 0.397 0.086
Ir3 0.250 0.914 0.311
Ir4 0.750 0.311 0.397
Ir5 0.750 0.603 0.914
Ir6 0.750 0.086 0.689
```

Values from the calculation:
Uncorrected formation energy, eV per atom: -0.54
Final energy, eV/atom: -6.87